# 1
An optimized crystal structure of Na2EuMnO6. Source: Alexandria via LeMat-Bulk, functional PBE with a Hubbard U.

**E**: -6.35 eV per atom
**DOS at the Fermi energy**: 7.15 states/eV/f.u.
**Space group**: Fm-3m

Unit cell a=5.8234 b=5.8234 c=5.8234 alpha=60.00 beta=60.00 gamma=60.00
Last column: magnetic moment on the atom in μB.
Element x y z (fractional)
Na (0.2500, 0.2500, 0.2500)  0.00
Na (0.7500, 0.7500, 0.7500)  0.00
Eu (0.0000, 0.0000, 0.0000)  -6.09
Mn (0.5000, 0.5000, 0.5000)  2.83
O (0.2716, 0.7284, 0.2716)  0.46
O (0.7284, 0.2716, 0.7284)  0.46
O (0.7284, 0.7284, 0.2716)  0.46
O (0.2716, 0.2716, 0.7284)  0.46
O (0.2716, 0.7284, 0.7284)  0.46
O (0.7284, 0.2716, 0.2716)  0.46

# 2
An optimized crystal structure of NaEuMn4O12. Source: Alexandria via LeMat-Bulk, functional PBE with a Hubbard U.

**E**: -6.71 eV per atom
**DOS at the Fermi energy**: 12.61 states/eV/f.u.
**Space group**: Amm2

Unit cell a=5.2846 b=5.2846 c=7.4646 alpha=90.00 beta=90.00 gamma=92.19
Last column: magnetic moment on the atom in μB.
Element x y z (fractional)
Na (0.0074, 0.9926, 0.0000)  0.00
Eu (0.4914, 0.5086, 0.5000)  -6.15
Mn (0.9979, 0.5018, 0.7597)  3.02
Mn (0.9979, 0.5018, 0.2403)  3.02
Mn (0.4982, 0.0021, 0.2403)  3.02
Mn (0.4982, 0.0021, 0.7597)  3.02
O (0.2777, 0.2799, 0.7359)  0.24
O (0.7201, 0.7223, 0.7359)  0.24
O (0.7201, 0.7223, 0.2641)  0.24
O (0.2777, 0.2799, 0.2641)  0.24
O (0.7736, 0.2264, 0.8182)  -0.33
O (0.2333, 0.7667, 0.6919)  0.15
O (0.2333, 0.7667, 0.3081)  0.15
O (0.7736, 0.2264, 0.1818)  -0.33
O (0.0616, 0.5723, 0.0000)  -0.22
O (0.9434, 0.4439, 0.5000)  0.28
O (0.4277, 0.9384, 0.0000)  -0.22
O (0.5561, 0.0566, 0.5000)  0.28

# 3
An optimized crystal structure of PrEuMnNbO6. Source: Alexandria via LeMat-Bulk, functional PBE with a Hubbard U.

**E**: -8.60 eV per atom
**DOS at the Fermi energy**: 6.50 states/eV/f.u.
**Space group**: F-43m

Unit cell a=5.5990 b=5.5990 c=5.5990 alpha=60.00 beta=60.00 gamma=60.00
Last column: magnetic moment on the atom in μB.
Element x y z (fractional)
Pr (0.7500, 0.7500, 0.7500)  -0.09
Eu (0.2500, 0.2500, 0.2500)  -6.83
Mn (0.0000, 0.0000, 0.0000)  1.61
Nb (0.5000, 0.5000, 0.5000)  -0.54
O (0.2453, 0.7547, 0.2453)  0.02
O (0.7547, 0.2453, 0.7547)  0.02
O (0.2453, 0.7547, 0.7547)  0.02
O (0.7547, 0.2453, 0.2453)  0.02
O (0.2453, 0.2453, 0.7547)  0.02
O (0.7547, 0.7547, 0.2453)  0.02

# 4
An optimized crystal structure of EuMnNbSnO6. Source: Alexandria via LeMat-Bulk, functional PBE with a Hubbard U.

**E**: -8.24 eV per atom
**DOS at the Fermi energy**: 15.19 states/eV/f.u.
**Space group**: F-43m

Unit cell a=5.7104 b=5.7104 c=5.7104 alpha=60.00 beta=60.00 gamma=60.00
Last column: magnetic moment on the atom in μB.
Element x y z (fractional)
Eu (0.2500, 0.2500, 0.2500)  -6.67
Mn (0.0000, 0.0000, 0.0000)  4.14
Nb (0.5000, 0.5000, 0.5000)  0.07
Sn (0.7500, 0.7500, 0.7500)  0.00
O (0.2524, 0.7476, 0.2524)  -0.01
O (0.7476, 0.2524, 0.7476)  -0.01
O (0.2524, 0.7476, 0.7476)  -0.01
O (0.7476, 0.2524, 0.2524)  -0.01
O (0.2524, 0.2524, 0.7476)  -0.01
O (0.7476, 0.7476, 0.2524)  -0.01

> Look up the DOS at the Fermi energy of the fourth one.

15.19 states/eV/f.u.